BeFe2O4 | PBE+U | optimized geometry

CIF file:
```
data_BeFe2O4
_chemical_formula_sum 'Be4 Fe8 O16'
_cell_length_a 9.8939
_cell_length_b 5.7495
_cell_length_c 4.5693
_cell_angle_alpha 90.00
_cell_angle_beta 90.00
_cell_angle_gamma 90.00
_symmetry_space_group_name_H-M 'P n m a'
_symmetry_Int_Tables_number 62
loop_
_symmetry_equiv_pos_as_xyz
'x,y,z'
'-x,-y,-z'
'-x+1/2,-y,z+1/2'
'x+1/2,y,-z+1/2'
'x+1/2,-y+1/2,-z+1/2'
'-x+1/2,y+1/2,z+1/2'
'-x,y+1/2,-z'
'x,-y+1/2,z'
loop_
_atom_site_label
_atom_site_type_symbol
_atom_site_fract_x
_atom_site_fract_y
_atom_site_fract_z
_atom_site_occupancy
Be1 Be 0.0878 0.2500 0.0732 1
Fe1 Fe 0.0000 0.0000 0.5000 1
Fe2 Fe 0.2263 0.7500 0.0091 1
O1 O 0.0618 0.7500 0.7578 1
O2 O 0.0876 0.2500 0.7239 1
O3 O 0.1583 0.0237 0.2386 1
```

Values from the calculation:
For the density of states at the Fermi level, the calculation gives 0.00 states/eV/cell. As for the crystal system: orthorhombic. The calculation puts the total energy at -46.33 eV per formula unit. As for the relative energy among the computed polymorphs: 0.137 eV/atom.

BeFe2O4 | PBE+U | optimized geometry

CIF file:
```
data_BeFe2O4
_chemical_formula_sum 'Be4 Fe8 O16'
_cell_length_a 9.4586
_cell_length_b 3.0597
_cell_length_c 9.8519
_cell_angle_alpha 90.00
_cell_angle_beta 90.00
_cell_angle_gamma 90.00
_symmetry_space_group_name_H-M 'P n m a'
_symmetry_Int_Tables_number 62
loop_
_symmetry_equiv_pos_as_xyz
'x,y,z'
'-x,-y,-z'
'-x+1/2,-y,z+1/2'
'x+1/2,y,-z+1/2'
'x+1/2,-y+1/2,-z+1/2'
'-x+1/2,y+1/2,z+1/2'
'-x,y+1/2,-z'
'x,-y+1/2,z'
loop_
_atom_site_label
_atom_site_type_symbol
_atom_site_fract_x
_atom_site_fract_y
_atom_site_fract_z
_atom_site_occupancy
Be1 Be 0.1617 0.2500 0.1196 1
Fe1 Fe 0.1127 0.2500 0.8065 1
Fe2 Fe 0.1205 0.2500 0.4288 1
O1 O 0.0014 0.2500 0.1335 1
O2 O 0.0161 0.2500 0.6152 1
O3 O 0.2429 0.2500 0.9827 1
O4 O 0.2448 0.2500 0.2556 1
```

Values from the calculation:
For the density of states at the Fermi level, the calculation gives 0.00 states/eV/cell. As for the crystal system: orthorhombic. The calculation puts the total energy at -47.29 eV per formula unit. As for the relative energy among the computed polymorphs: 0.000 eV/atom.

BeFe2O | PBE+U | optimized geometry

CIF file:
```
data_BeFe2O
_chemical_formula_sum 'Be4 Fe8 O4'
_cell_length_a 5.5946
_cell_length_b 5.5946
_cell_length_c 5.5946
_cell_angle_alpha 90.00
_cell_angle_beta 90.00
_cell_angle_gamma 90.00
_symmetry_space_group_name_H-M 'F m -3 m'
_symmetry_Int_Tables_number 225
_symmetry_space_group_name_Hall '-F 4 2 3'
loop_
_atom_site_label
_atom_site_type_symbol
_atom_site_fract_x
_atom_site_fract_y
_atom_site_fract_z
_atom_site_occupancy
Be1 Be 0.0000 0.0000 0.0000 1
Fe1 Fe 0.2500 0.2500 0.2500 1
O1 O 0.0000 0.0000 0.5000 1
```

Values from the calculation:
For the density of states at the Fermi level, the calculation gives 8.96 states/eV/cell. As for the crystal system: cubic. The calculation puts the total energy at -17.78 eV per formula unit. As for the relative energy among the computed polymorphs: 0.525 eV/atom.

Calculated values (Bohr magnetons per cell) of magnetic moment for the records, taken in order: 23.999; 39.994; 23.874.